No. 1
DFT (GGA-PBE) results for a relaxed ScGeAu crystal.

Properties
Its electronic total energy is -15.355 eV/f.u. As for the size of the total moment: 0.00 μB/atom. The calculation puts the formation enthalpy at 0 K at -0.376 eV per atom.

Lattice parameters (Å, degrees): 3.4864 16.1114 4.5541 90.00 90.00 90.00
Space group Cmcm (No. 63)
Unique sites:
Sc1 0.0000 0.1642 0.2500 x4
Ge1 0.0000 0.3358 0.2500 x4
Au1 0.0000 0.0460 0.7500 x4

***

No. 2
DFT (GGA-PBE) results for a relaxed ScGeAu crystal.

Properties
Its electronic total energy is -15.932 eV/f.u. As for the size of the total moment: 0.00 μB/atom. The calculation puts the formation enthalpy at 0 K at -0.569 eV per atom.

Lattice parameters (Å, degrees): 9.8178 4.2532 6.2886 90.00 113.17 90.00
Space group C2/m (No. 12)
Unique sites:
Sc1 0.1496 0.0000 0.2337 x4
Ge1 0.1302 0.0000 0.6714 x4
Au1 0.0863 0.5000 0.8741 x4

***

No. 3
DFT (GGA-PBE) results for a relaxed ScGe2Au crystal.

Properties
Its electronic total energy is -19.909 eV/f.u. As for the size of the total moment: 0.00 μB/atom. The value obtained for the offset from the most stable computed form is 0.173 eV per atom. The calculation puts the formation enthalpy at 0 K at -0.266 eV per atom.

Lattice parameters (Å, degrees): 7.4440 7.4440 5.7396 90.00 90.00 90.00
Space group I-42d (No. 122)
Unique sites:
Sc1 0.0000 0.0000 0.0000 x4
Ge1 0.2227 0.2500 0.6250 x8
Au1 0.0000 0.0000 0.5000 x4

***

No. 4
DFT (GGA-PBE) results for a relaxed ScGeAu crystal.

Properties
Its electronic total energy is -15.572 eV/f.u. As for the size of the total moment: 0.00 μB/atom. The calculation puts the formation enthalpy at 0 K at -0.449 eV per atom.

Lattice parameters (Å, degrees): 3.3040 3.3040 10.5565 90.00 90.00 90.00
Space group I4mm (No. 107)
Unique sites:
Sc1 0.0000 0.0000 0.0000 x2
Ge1 0.0000 0.0000 0.6735 x2
Au1 0.0000 0.0000 0.3408 x2

***

No. 5
DFT (GGA-PBE) results for a relaxed ScGe2Au2 crystal.

Properties
Its electronic total energy is -23.054 eV/f.u. As for the size of the total moment: 0.00 μB/atom. The calculation puts the formation enthalpy at 0 K at -0.187 eV per atom.

Lattice parameters (Å, degrees): 7.4445 7.4445 3.5520 90.00 90.00 90.00
Space group P4/mbm (No. 127)
Unique sites:
Sc1 0.0000 0.0000 0.0000 x2
Ge1 0.1805 0.3195 0.5000 x4
Au1 0.1309 0.6309 0.0000 x4

***

No. 6
DFT (GGA-PBE) results for a relaxed ScGeAu crystal.

Properties
Its electronic total energy is -15.950 eV/f.u. As for the size of the total moment: 0.00 μB/atom. The calculation puts the formation enthalpy at 0 K at -0.575 eV per atom.

Lattice parameters (Å, degrees): 3.8712 15.7130 3.7367 90.00 90.00 90.00
Space group Cmcm (No. 63)
Unique sites:
Sc1 0.0000 0.1003 0.2500 x4
Ge1 0.0000 0.4481 0.2500 x4
Au1 0.0000 0.2823 0.2500 x4

***

No. 7
DFT (GGA-PBE) results for a relaxed ScGeAu3 crystal.

Properties
Its electronic total energy is -17.973 eV/f.u. As for the size of the total moment: 0.00 μB/atom. The value obtained for the offset from the most stable computed form is 0.465 eV per atom. The calculation puts the formation enthalpy at 0 K at 0.562 eV per atom.

Lattice parameters (Å, degrees): 5.0978 5.0978 5.0978 90.00 90.00 90.00
Space group Pm-3m (No. 221)
Unique sites:
Sc1 0.0000 0.0000 0.0000 x1
Ge1 0.5000 0.5000 0.5000 x1
Au1 0.0000 0.0000 0.5000 x3

***

No. 8
DFT (GGA-PBE) results for a relaxed ScTi2GeAu crystal.

Properties
Its electronic total energy is -29.075 eV/f.u. As for the size of the total moment: 0.00 μB/atom. The calculation puts the formation enthalpy at 0 K at 0.188 eV per atom.

Lattice parameters (Å, degrees): 4.7010 4.7010 4.9290 90.00 90.00 90.00
Space group P4/mmm (No. 123)
Unique sites:
Sc1 0.0000 0.0000 0.0000 x1
Ti1 0.0000 0.5000 0.5000 x2
Ge1 0.0000 0.0000 0.5000 x1
Au1 0.5000 0.5000 0.0000 x1

***

No. 9
DFT (GGA-PBE) results for a relaxed TmScGeAu crystal.

Properties
Its electronic total energy is -21.606 eV/f.u. As for the size of the total moment: 0.12 μB/atom. The calculation puts the formation enthalpy at 0 K at -0.727 eV per atom.

Lattice parameters (Å, degrees): 6.9429 6.9429 6.9429 90.00 90.00 90.00
Space group F-43m (No. 216)
Unique sites:
Tm1 0.0000 0.0000 0.0000 x4
Sc1 0.0000 0.0000 0.5000 x4
Ge1 0.2500 0.2500 0.2500 x4
Au1 0.2500 0.2500 0.7500 x4

***

No. 10
DFT (GGA-PBE) results for a relaxed ScZnGeAu crystal.

Properties
Its electronic total energy is -17.177 eV/f.u. As for the size of the total moment: 0.00 μB/atom. The calculation puts the formation enthalpy at 0 K at -0.419 eV per atom.

Lattice parameters (Å, degrees): 6.6027 6.6027 6.6027 90.00 90.00 90.00
Space group F-43m (No. 216)
Unique sites:
Sc1 0.0000 0.0000 0.0000 x4
Zn1 0.0000 0.0000 0.5000 x4
Ge1 0.2500 0.2500 0.2500 x4
Au1 0.2500 0.2500 0.7500 x4

***

No. 11
DFT (GGA-PBE) results for a relaxed GeAuSe crystal.

Properties
Its electronic total energy is -11.463 eV/f.u. As for the size of the total moment: 0.00 μB/atom. Its uncorrected formation energy is -0.028 eV/atom.

Lattice parameters (Å, degrees): 8.2579 6.3363 5.6810 90.00 107.01 90.00
Space group P2_1/c (No. 14)
Unique sites:
Ge1 0.1618 0.0924 0.2194 x4
Au1 0.1543 0.6589 0.3271 x4
Se1 0.3439 0.0921 0.6636 x4

***

No. 12
DFT (GGA-PBE) results for a relaxed GeAuSe2 crystal.

Properties
Its electronic total energy is -15.039 eV/f.u. As for the size of the total moment: 0.00 μB/atom. Its uncorrected formation energy is -0.044 eV/atom.

Lattice parameters (Å, degrees): 7.6713 3.9700 14.7471 90.00 90.00 90.00
Space group Pnma (No. 62)
Unique sites:
Ge1 0.2253 0.2500 0.1726 x4
Au1 0.1550 0.7500 0.3668 x4
Se1 0.1389 0.7500 0.8246 x4
Se2 0.1508 0.2500 0.5808 x4

***

No. 13
DFT (GGA-PBE) results for a relaxed GeAuSe3 crystal.

Properties
Its electronic total energy is -15.501 eV/f.u. As for the size of the total moment: 0.00 μB/atom. Its uncorrected formation energy is 0.570 eV/atom.

Lattice parameters (Å, degrees): 5.0767 5.0767 5.0767 90.00 90.00 90.00
Space group Pm-3m (No. 221)
Unique sites:
Ge1 0.0000 0.0000 0.0000 x1
Au1 0.5000 0.5000 0.5000 x1
Se1 0.0000 0.5000 0.5000 x3

***

No. 14
DFT (GGA-PBE) results for a relaxed GeAuSe crystal.

Properties
Its electronic total energy is -11.539 eV/f.u. As for the size of the total moment: 0.00 μB/atom. Its uncorrected formation energy is -0.053 eV/atom.

Lattice parameters (Å, degrees): 3.7937 3.7937 4.9704 90.00 90.00 120.00
Space group P3m1 (No. 156)
Unique sites:
Ge1 0.0000 0.0000 0.0000 x1
Au1 0.3333 0.6667 0.3041 x1
Se1 0.6667 0.3333 0.6601 x1

***

No. 15
DFT (GGA-PBE) results for a relaxed GeAu3Se4 crystal.

Properties
Its electronic total energy is -28.713 eV/f.u. As for the size of the total moment: 0.00 μB/atom. Its uncorrected formation energy is -0.041 eV/atom.

Lattice parameters (Å, degrees): 8.2373 7.2182 6.9997 90.00 90.00 90.00
Space group Pmn2_1 (No. 31)
Unique sites:
Ge1 0.0000 0.1708 0.0000 x2
Au1 0.0000 0.8528 0.4887 x2
Au2 0.2485 0.6747 0.9801 x4
Se1 0.0000 0.1771 0.6478 x2
Se2 0.0000 0.8500 0.1207 x2
Se3 0.2439 0.3321 0.1134 x4

***

No. 16
DFT (GGA-PBE) results for a relaxed GeAu3Se crystal.

Properties
Its electronic total energy is -14.891 eV/f.u. As for the size of the total moment: 0.00 μB/atom. The value obtained for the offset from the most stable computed form is 0.000 eV per atom. Its uncorrected formation energy is 0.609 eV/atom.

Lattice parameters (Å, degrees): 4.9125 4.9125 4.9125 90.00 90.00 90.00
Space group Pm-3m (No. 221)
Unique sites:
Ge1 0.0000 0.0000 0.0000 x1
Au1 0.0000 0.0000 0.5000 x3
Se1 0.5000 0.5000 0.5000 x1

***

No. 17
DFT (GGA-PBE) results for a relaxed GeAuSe3 crystal.

Properties
Its electronic total energy is -18.692 eV/f.u. As for the size of the total moment: 0.00 μB/atom. Its uncorrected formation energy is -0.069 eV/atom.

Lattice parameters (Å, degrees): 3.6817 19.1928 7.1703 90.00 90.00 90.00
Space group Cmc2_1 (No. 36)
Unique sites:
Ge1 0.0000 0.1461 0.0000 x4
Au1 0.0000 0.3421 0.0258 x4
Se1 0.0000 0.0876 0.6750 x4
Se2 0.0000 0.2309 0.3796 x4
Se3 0.0000 0.4265 0.6225 x4

***

No. 18
DFT (GGA-PBE) results for a relaxed GeAuSe2 crystal.

Properties
Its electronic total energy is -15.010 eV/f.u. As for the size of the total moment: 0.00 μB/atom. Its uncorrected formation energy is -0.037 eV/atom.

Lattice parameters (Å, degrees): 3.9938 3.9938 22.9850 90.00 90.00 120.00
Space group R-3m (No. 166, hexagonal axes)
Unique sites:
Ge1 0.0000 0.0000 0.0000 x3
Au1 0.0000 0.0000 0.5000 x3
Se1 0.0000 0.0000 0.3949 x6

***

No. 19
DFT (GGA-PBE) results for a relaxed Ge5AuSe4 crystal.

Properties
Its electronic total energy is -41.734 eV/f.u. As for the size of the total moment: 0.00 μB/atom. Its uncorrected formation energy is -0.143 eV/atom.

Lattice parameters (Å, degrees): 3.9641 3.9641 27.9308 90.00 90.00 90.00
Space group I4/mmm (No. 139)
Unique sites:
Ge1 0.0000 0.0000 0.0000 x2
Ge2 0.0000 0.0000 0.1999 x4
Ge3 0.0000 0.0000 0.4031 x4
Au1 0.0000 0.0000 0.5000 x2
Se1 0.0000 0.0000 0.1015 x4
Se2 0.0000 0.0000 0.3015 x4

***

No. 20
DFT (GGA-PBE) results for a relaxed GeAuSe2 crystal.

Properties
Its electronic total energy is -14.863 eV/f.u. As for the size of the total moment: 0.00 μB/atom. Its uncorrected formation energy is 0.000 eV/atom.

Lattice parameters (Å, degrees): 7.3623 7.3623 6.9449 90.00 90.00 90.00
Space group I4/mcm (No. 140)
Unique sites:
Ge1 0.0000 0.5000 0.2500 x4
Au1 0.0000 0.0000 0.0000 x4
Se1 0.1955 0.3045 0.0000 x8